No. 1
Here is crystalline Sr2BeTl at its relaxed geometry from Alexandria. Energies are from PBE.

Cell lengths 4.598, 5.112, 6.099 Å; angles 65.20, 90.00, 90.00 degrees
Fractional coordinates of all 4 atoms:
Sr  0.500  0.271  0.334
Tl  0.000  0.670  0.535
Be  0.500  0.582  0.710
Sr  0.000  0.977  0.920

Output
Magnetic moment = 0.00 μB per cell
Energy of formation from the pure elements = 23 meV per atom
Volume = 130.13 Å³ per cell
VASP energy = -9.36 eV per cell
Calculated density = 4.96 g/cm³


No. 2
Here is crystalline SrBeTl at its relaxed geometry from Alexandria. Energies are from PBE.

Cell lengths 4.874, 4.874, 4.874 Å; angles 60.00, 60.00, 60.00 degrees
Fractional coordinates of all 3 atoms:
Be  0.750  0.750  0.750
Sr  0.000  0.000  0.000
Tl  0.500  0.500  0.500

Output
Magnetic moment = 0.00 μB per cell
Energy of formation from the pure elements = 227 meV per atom
Volume = 81.87 Å³ per cell
VASP energy = -7.09 eV per cell
Calculated density = 6.11 g/cm³


No. 3
Here is crystalline SrBeTl2 at its relaxed geometry from Alexandria. Energies are from PBE.

Cell lengths 4.460, 4.460, 6.843 Å; angles 70.99, 70.99, 59.93 degrees
Fractional coordinates of all 4 atoms:
Be  0.442  0.442  0.676
Tl  0.793  0.793  0.623
Tl  0.025  0.025  0.925
Sr  0.240  0.240  0.277

Output
Magnetic moment = 0.00 μB per cell
Energy of formation from the pure elements = 44 meV per atom
Volume = 109.15 Å³ per cell
VASP energy = -9.97 eV per cell
Calculated density = 7.69 g/cm³


No. 4
Here is crystalline Sr2BeTl at its relaxed geometry from Alexandria. Energies are from PBE.

Cell lengths 6.639, 6.639, 5.521 Å; angles 65.35, 65.35, 32.99 degrees
Fractional coordinates of all 4 atoms:
Be  0.219  0.219  0.282
Tl  0.557  0.557  0.443
Sr  0.766  0.766  0.734
Sr  0.959  0.959  0.041

Output
Magnetic moment = 0.00 μB per cell
Energy of formation from the pure elements = 84 meV per atom
Volume = 119.32 Å³ per cell
VASP energy = -9.12 eV per cell
Calculated density = 5.41 g/cm³


Taking the records one at a time from the top gives energy above the lowest structure with this stoichiometry values of 12; 177; 5; 73 meV per atom.